1.
The following is a PBE calculation of a relaxed structure of Be2TlBr, from the Alexandria database.

Cell and atoms, written as POSCAR:
```
Be2TlBr
1.0
5.595 -0.270 0.252
-0.030 5.601 -0.252
-0.939 -4.590 3.081
Be Br Tl
2 1 1
direct
0.990 0.990 0.000
0.510 0.510 0.000
0.750 0.250 0.500
0.250 0.750 0.500
```

**Raw formation energy**: 744 meV/atom
**SG**: Immm, No. 71

2.
The following is a PBE calculation of a relaxed structure of SmGdYMg, from the Alexandria database.

Cell and atoms, written as POSCAR:
```
SmGdYMg
1.0
5.555 0.000 0.000
2.777 4.810 0.000
2.777 1.603 4.535
Sm Mg Gd Y
1 1 1 1
direct
0.500 0.500 0.500
0.750 0.750 0.750
0.250 0.250 0.250
0.000 0.000 0.000
```

**Formation enthalpy at 0 K**: 0.17 eV/f.u.
**SG**: F-43m, No. 216

3.
The following is a PBE calculation of a relaxed structure of GdTm2Sn, from the Alexandria database.

Cell and atoms, written as POSCAR:
```
GdTm2Sn
1.0
4.739 0.000 0.000
0.000 4.801 0.000
0.000 0.000 4.801
Tm Sn Gd
2 1 1
direct
0.000 0.500 0.000
0.000 0.000 0.500
0.500 0.000 0.000
0.500 0.500 0.500
```

**Formation enthalpy at 0 K**: -1.66 eV/f.u.
**SG**: P4/mmm, No. 123

In states/eV/atom, the DOS at the Fermi energy values for the records above are, in order, 0.51; 1.51; 1.12.
In μB per cell, the size of the total moment values for the records above are, in order, 0.00; 7.64; 7.45.
In Å³/f.u., the V values for the records above are, in order, 91.3; 121.2; 109.2.